1.
A relaxed Sb2PRh crystal, computed with PBE.

The structure belongs to space group Pmmm (No. 47); the cell edges are 3.5845, 4.3796 and 5.1360 Å and the angles 90.00°, 90.00° and 90.00°. The distinct sites, in fractional coordinates, are Sb at (0.0000, 0.0000, 0.0000), Sb at (0.5000, 0.0000, 0.5000), P at (0.0000, 0.5000, 0.5000) and Rh at (0.5000, 0.5000, 0.0000).

The value obtained for the uncorrected formation energy is 387 meV per atom.

2.
A relaxed AcPm2Te crystal, computed with PBE.

The structure belongs to space group R3m (No. 160, hexagonal axes); the cell edges are 4.0778, 4.0778 and 30.5416 Å and the angles 90.00°, 90.00° and 120.00°. The distinct sites, in fractional coordinates, are Ac at (0.0000, 0.0000, 0.0000), Pm at (0.0000, 0.0000, 0.5677), Pm at (0.0000, 0.0000, 0.7663) and Te at (0.0000, 0.0000, 0.1671).

The value obtained for the uncorrected formation energy is -589 meV per atom. As for the polymorph energy (0 for the lowest one): 0.032 eV per atom.